# YMg2Mn PBE relaxed
# Space-group type: No. 166
# ρ: 3.47 g/cm3
# Total energy: -4.427 eV per atom
data_YMg2Mn
_chemical_formula_sum 'Y1 Mg2 Mn1'
_symmetry_space_group_name_H-M 'P 1'
_symmetry_Int_Tables_number 1
_cell_length_a 10.409
_cell_length_b 10.409
_cell_length_c 10.409
_cell_angle_alpha 17.81
_cell_angle_beta 17.81
_cell_angle_gamma 17.81
loop_
_symmetry_equiv_pos_as_xyz
'x,y,z'
loop_
_atom_site_label
_atom_site_type_symbol
_atom_site_fract_x
_atom_site_fract_y
_atom_site_fract_z
_atom_site_occupancy
Y1 Y 0.000 0.000 0.000 1
Mg1 Mg 0.240 0.240 0.240 1
Mg2 Mg 0.760 0.760 0.760 1
Mn1 Mn 0.500 0.500 0.500 1